# 1
# SiHBr2 (GGA-PBE, optimized geometry)
data_SiHBr2
_chemical_formula_sum 'Si3 H3 Br6'
_cell_length_a 3.4577
_cell_length_b 3.4577
_cell_length_c 23.1010
_cell_angle_alpha 90.00
_cell_angle_beta 90.00
_cell_angle_gamma 120.00
_space_group_name_H-M_alt 'R -3 m'
_space_group_IT_number 166
_space_group_name_Hall '-R 3 2"'
loop_
_atom_site_label
_atom_site_type_symbol
_atom_site_fract_x
_atom_site_fract_y
_atom_site_fract_z
Si1 Si 0.0000 0.0000 0.0000
H1 H 0.0000 0.0000 0.5000
Br1 Br 0.0000 0.0000 0.1068
# N(E_F)   0.228 states/eV/atom
# Uncorrected energy   -2.38 eV per atom
# V   19.93 Å³/atom

---

# 2
# SiHBr2 (GGA-PBE, optimized geometry)
data_SiHBr2
_chemical_formula_sum 'Si3 H3 Br6'
_cell_length_a 3.7062
_cell_length_b 3.7062
_cell_length_c 22.8309
_cell_angle_alpha 90.00
_cell_angle_beta 90.00
_cell_angle_gamma 120.00
_space_group_name_H-M_alt 'R -3 m'
_space_group_IT_number 166
_space_group_name_Hall '-R 3 2"'
loop_
_atom_site_label
_atom_site_type_symbol
_atom_site_fract_x
_atom_site_fract_y
_atom_site_fract_z
Si1 Si 0.0000 0.0000 0.0000
H1 H 0.0000 0.0000 0.5000
Br1 Br 0.0000 0.0000 0.4234
# N(E_F)   0.284 states/eV/atom
# Uncorrected energy   -2.75 eV per atom
# V   22.63 Å³/atom

---

# 3
# SiHBr2 (GGA-PBE, optimized geometry)
data_SiHBr2
_chemical_formula_sum 'Si4 H4 Br8'
_cell_length_a 6.895
_cell_length_b 6.895
_cell_length_c 6.895
_cell_angle_alpha 90.00
_cell_angle_beta 90.00
_cell_angle_gamma 90.00
_space_group_name_H-M_alt 'F m -3 m'
_space_group_IT_number 225
_space_group_name_Hall '-F 4 2 3'
loop_
_atom_site_label
_atom_site_type_symbol
_atom_site_fract_x
_atom_site_fract_y
_atom_site_fract_z
Si1 Si 0.000 0.000 0.000
H1 H 0.000 0.000 0.500
Br1 Br 0.250 0.250 0.250
# N(E_F)   0.000 states/eV/atom
# Uncorrected energy   -2.47 eV per atom
# V   20.48 Å³/atom

---

# 4
# SiTcH2Br (GGA-PBE, optimized geometry)
data_SiTcH2Br
_chemical_formula_sum 'Si1 Tc1 H2 Br1'
_cell_length_a 3.412
_cell_length_b 3.412
_cell_length_c 8.188
_cell_angle_alpha 90.00
_cell_angle_beta 90.00
_cell_angle_gamma 90.00
_space_group_name_H-M_alt 'P 4/m m m'
_space_group_IT_number 123
_space_group_name_Hall '-P 4 2'
loop_
_atom_site_label
_atom_site_type_symbol
_atom_site_fract_x
_atom_site_fract_y
_atom_site_fract_z
Si1 Si 0.000 0.000 0.000
Tc1 Tc 0.500 0.500 0.000
H1 H 0.000 0.500 0.500
Br1 Br 0.000 0.000 0.500
# N(E_F)   0.513 states/eV/atom
# Uncorrected energy   -4.07 eV per atom
# V   19.07 Å³/atom

---

# 5
# SiTcHBr2 (GGA-PBE, optimized geometry)
data_SiTcHBr2
_chemical_formula_sum 'Si1 Tc1 H1 Br2'
_cell_length_a 4.854
_cell_length_b 4.854
_cell_length_c 3.468
_cell_angle_alpha 90.00
_cell_angle_beta 90.00
_cell_angle_gamma 90.00
_space_group_name_H-M_alt 'P 4/m m m'
_space_group_IT_number 123
_space_group_name_Hall '-P 4 2'
loop_
_atom_site_label
_atom_site_type_symbol
_atom_site_fract_x
_atom_site_fract_y
_atom_site_fract_z
Si1 Si 0.000 0.000 0.000
Tc1 Tc 0.500 0.500 0.000
H1 H 0.500 0.500 0.500
Br1 Br 0.000 0.500 0.500
# N(E_F)   0.529 states/eV/atom
# Uncorrected energy   -3.60 eV per atom
# V   16.34 Å³/atom

---

# 6
# SmHBr (GGA-PBE, optimized geometry)
data_SmHBr
_chemical_formula_sum 'Sm2 H2 Br2'
_cell_length_a 3.805
_cell_length_b 5.832
_cell_length_c 6.671
_cell_angle_alpha 102.41
_cell_angle_beta 106.57
_cell_angle_gamma 109.03
_space_group_name_H-M_alt 'P -1'
_space_group_IT_number 2
_space_group_name_Hall '-P 1'
loop_
_atom_site_label
_atom_site_type_symbol
_atom_site_fract_x
_atom_site_fract_y
_atom_site_fract_z
Sm1 Sm 0.073 0.406 0.241
H1 H 0.376 0.656 0.596
Br1 Br 0.259 0.180 0.838
# N(E_F)   0.243 states/eV/atom
# Uncorrected energy   -4.26 eV per atom
# V   21.03 Å³/atom